Record 1
Entry from Alexandria via LeMat-Bulk: a geometry-optimized PrZr6P9O36 structure (GGA-PBEsol).

Computed properties:
E_form (uncorrected)   -145.63 eV/f.u.
Space group   P-3c1 (165)
E_tot   -8.586 eV per atom

Cell lengths 8.847, 8.847, 23.036 Å; angles 90.00, 90.00, 120.00 degrees
Fractional positions:
1 Pr 0.000 0.000 0.000
2 Pr 0.000 0.000 0.500
3 Zr 0.000 0.000 0.150
4 Zr 0.000 0.000 0.350
5 Zr 0.000 0.000 0.650
6 Zr 0.000 0.000 0.850
7 Zr 0.333 0.667 0.028
8 Zr 0.333 0.667 0.312
9 Zr 0.333 0.667 0.528
10 Zr 0.333 0.667 0.812
11 Zr 0.667 0.333 0.188
12 Zr 0.667 0.333 0.472
13 Zr 0.667 0.333 0.688
14 Zr 0.667 0.333 0.972
15 P 0.000 0.291 0.250
16 P 0.000 0.709 0.750
17 P 0.055 0.377 0.920
18 P 0.055 0.678 0.420
19 P 0.291 0.000 0.250
20 P 0.291 0.291 0.750
21 P 0.322 0.377 0.420
22 P 0.322 0.945 0.920
23 P 0.377 0.055 0.580
24 P 0.377 0.322 0.080
25 P 0.623 0.678 0.920
26 P 0.623 0.945 0.420
27 P 0.678 0.055 0.080
28 P 0.678 0.623 0.580
29 P 0.709 0.000 0.750
30 P 0.709 0.709 0.250
31 P 0.945 0.322 0.580
32 P 0.945 0.623 0.080
33 O 0.014 0.181 0.918
34 O 0.014 0.833 0.418
35 O 0.033 0.204 0.196
36 O 0.033 0.828 0.696
37 O 0.119 0.493 0.574
38 O 0.119 0.626 0.074
39 O 0.149 0.471 0.865
40 O 0.149 0.678 0.365
41 O 0.160 0.468 0.261
42 O 0.160 0.692 0.761
43 O 0.167 0.181 0.418
44 O 0.167 0.986 0.918
45 O 0.168 0.454 0.975
46 O 0.168 0.714 0.475
47 O 0.172 0.204 0.696
48 O 0.172 0.967 0.196
49 O 0.181 0.014 0.582
50 O 0.181 0.167 0.082
51 O 0.204 0.033 0.304
52 O 0.204 0.172 0.804
53 O 0.286 0.454 0.475
54 O 0.286 0.832 0.975
55 O 0.308 0.468 0.761
56 O 0.308 0.840 0.261
57 O 0.322 0.471 0.365
58 O 0.322 0.851 0.865
59 O 0.374 0.493 0.074
60 O 0.374 0.881 0.574
61 O 0.454 0.168 0.525
62 O 0.454 0.286 0.025
63 O 0.468 0.160 0.239
64 O 0.468 0.308 0.739
65 O 0.471 0.149 0.635
66 O 0.471 0.322 0.135
67 O 0.493 0.119 0.926
68 O 0.493 0.374 0.426
69 O 0.507 0.626 0.574
70 O 0.507 0.881 0.074
71 O 0.529 0.678 0.865
72 O 0.529 0.851 0.365
73 O 0.532 0.692 0.261
74 O 0.532 0.840 0.761
75 O 0.546 0.714 0.975
76 O 0.546 0.832 0.475
77 O 0.626 0.119 0.426
78 O 0.626 0.507 0.926
79 O 0.678 0.149 0.135
80 O 0.678 0.529 0.635
81 O 0.692 0.160 0.739
82 O 0.692 0.532 0.239
83 O 0.714 0.168 0.025
84 O 0.714 0.546 0.525
85 O 0.796 0.828 0.196
86 O 0.796 0.967 0.696
87 O 0.819 0.833 0.918
88 O 0.819 0.986 0.418
89 O 0.828 0.033 0.804
90 O 0.828 0.796 0.304
91 O 0.832 0.286 0.525
92 O 0.832 0.546 0.025
93 O 0.833 0.014 0.082
94 O 0.833 0.819 0.582
95 O 0.840 0.308 0.239
96 O 0.840 0.532 0.739
97 O 0.851 0.322 0.635
98 O 0.851 0.529 0.135
99 O 0.881 0.374 0.926
100 O 0.881 0.507 0.426
101 O 0.967 0.172 0.304
102 O 0.967 0.796 0.804
103 O 0.986 0.167 0.582
104 O 0.986 0.819 0.082


Record 2
Entry from Alexandria via LeMat-Bulk: a geometry-optimized PPtO3 structure (GGA-PBEsol).

Computed properties:
E_form (uncorrected)   -0.57 eV/f.u.
Space group   Pm-3m (221)
E_tot   -5.816 eV per atom

Cell lengths 3.601, 3.601, 3.601 Å; angles 90.00, 90.00, 90.00 degrees
Fractional positions:
1 P 0.000 0.000 0.000
2 Pt 0.500 0.500 0.500
3 O 0.000 0.000 0.500
4 O 0.000 0.500 0.000
5 O 0.500 0.000 0.000


Record 3
Entry from Alexandria via LeMat-Bulk: a geometry-optimized P2PtO structure (GGA-PBEsol).

Computed properties:
E_form (uncorrected)   -0.46 eV/f.u.
Space group   I-42d (122)
E_tot   -6.065 eV per atom

Cell lengths 6.336, 6.336, 6.336 Å; angles 135.18, 135.18, 65.25 degrees
Fractional positions:
1 P 0.084 0.625 0.959
2 P 0.375 0.334 0.459
3 P 0.666 0.125 0.041
4 P 0.875 0.916 0.541
5 Pt 0.250 0.750 0.500
6 Pt 0.500 0.500 0.000
7 O 0.000 0.000 0.000
8 O 0.750 0.250 0.500


Record 4
Entry from Alexandria via LeMat-Bulk: a geometry-optimized ReP2PtO structure (GGA-PBEsol).

Computed properties:
E_form (uncorrected)   5.18 eV/f.u.
Space group   P4/mmm (123)
E_tot   -6.389 eV per atom

Cell lengths 4.699, 4.699, 3.605 Å; angles 90.00, 90.00, 90.00 degrees
Fractional positions:
1 Re 0.000 0.000 0.000
2 P 0.000 0.500 0.500
3 P 0.500 0.000 0.500
4 Pt 0.500 0.500 0.500
5 O 0.500 0.500 0.000


Record 5
Entry from Alexandria via LeMat-Bulk: a geometry-optimized PRuPtO2 structure (GGA-PBEsol).

Computed properties:
E_form (uncorrected)   -1.30 eV/f.u.
Space group   P4/mmm (123)
E_tot   -6.944 eV per atom

Cell lengths 3.592, 3.592, 5.412 Å; angles 90.00, 90.00, 90.00 degrees
Fractional positions:
1 P 0.000 0.000 0.000
2 Ru 0.000 0.000 0.500
3 Pt 0.500 0.500 0.000
4 O 0.000 0.500 0.500
5 O 0.500 0.000 0.500


Record 6
Entry from Alexandria via LeMat-Bulk: a geometry-optimized TiP2PtO structure (GGA-PBEsol).

Computed properties:
E_form (uncorrected)   1.32 eV/f.u.
Space group   P4/mmm (123)
E_tot   -6.160 eV per atom

Cell lengths 4.706, 4.706, 3.728 Å; angles 90.00, 90.00, 90.00 degrees
Fractional positions:
1 Ti 0.000 0.000 0.000
2 P 0.000 0.500 0.500
3 P 0.500 0.000 0.500
4 Pt 0.500 0.500 0.500
5 O 0.500 0.500 0.000


Record 7
Entry from Alexandria via LeMat-Bulk: a geometry-optimized TlPPtO2 structure (GGA-PBEsol).

Computed properties:
E_form (uncorrected)   4.46 eV/f.u.
Space group   P4/mmm (123)
E_tot   -4.285 eV per atom

Cell lengths 3.829, 3.829, 6.565 Å; angles 90.00, 90.00, 90.00 degrees
Fractional positions:
1 Tl 0.000 0.000 0.000
2 P 0.000 0.000 0.500
3 Pt 0.500 0.500 0.500
4 O 0.000 0.500 0.000
5 O 0.500 0.000 0.000


Record 8
Entry from Alexandria via LeMat-Bulk: a geometry-optimized YP2PtO structure (GGA-PBEsol).

Computed properties:
E_form (uncorrected)   2.25 eV/f.u.
Space group   P4/mmm (123)
E_tot   -5.673 eV per atom

Cell lengths 5.208, 5.208, 3.940 Å; angles 90.00, 90.00, 90.00 degrees
Fractional positions:
1 Y 0.000 0.000 0.000
2 P 0.000 0.500 0.000
3 P 0.500 0.000 0.000
4 Pt 0.500 0.500 0.500
5 O 0.000 0.000 0.500


Record 9
Entry from Alexandria via LeMat-Bulk: a geometry-optimized ZrP2PtO structure (GGA-PBEsol).

Computed properties:
E_form (uncorrected)   -0.26 eV/f.u.
Space group   P4/mmm (123)
E_tot   -6.629 eV per atom

Cell lengths 4.702, 4.702, 3.779 Å; angles 90.00, 90.00, 90.00 degrees
Fractional positions:
1 Zr 0.000 0.000 0.000
2 P 0.000 0.500 0.500
3 P 0.500 0.000 0.500
4 Pt 0.500 0.500 0.500
5 O 0.500 0.500 0.000


Record 10
Entry from Alexandria via LeMat-Bulk: a geometry-optimized Rb3PO4 structure (GGA-PBEsol).

Computed properties:
E_form (uncorrected)   -17.47 eV/f.u.
Space group   Pnma (62)
E_tot   -5.917 eV per atom

Cell lengths 11.618, 8.387, 6.159 Å; angles 90.00, 90.00, 90.00 degrees
Fractional positions:
1 Rb 0.071 0.250 0.136
2 Rb 0.144 0.008 0.691
3 Rb 0.144 0.492 0.691
4 Rb 0.356 0.508 0.191
5 Rb 0.356 0.992 0.191
6 Rb 0.429 0.750 0.636
7 Rb 0.571 0.250 0.364
8 Rb 0.644 0.008 0.809
9 Rb 0.644 0.492 0.809
10 Rb 0.856 0.508 0.309
11 Rb 0.856 0.992 0.309
12 Rb 0.929 0.750 0.864
13 P 0.115 0.750 0.281
14 P 0.385 0.250 0.781
15 P 0.615 0.750 0.219
16 P 0.885 0.250 0.719
17 O 0.011 0.750 0.443
18 O 0.109 0.597 0.137
19 O 0.109 0.903 0.137
20 O 0.229 0.750 0.414
21 O 0.271 0.250 0.914
22 O 0.391 0.097 0.637
23 O 0.391 0.403 0.637
24 O 0.489 0.250 0.943
25 O 0.511 0.750 0.057
26 O 0.609 0.597 0.363
27 O 0.609 0.903 0.363
28 O 0.729 0.750 0.086
29 O 0.771 0.250 0.586
30 O 0.891 0.097 0.863
31 O 0.891 0.403 0.863
32 O 0.989 0.250 0.557


Record 11
Entry from Alexandria via LeMat-Bulk: a geometry-optimized RbPO2 structure (GGA-PBEsol).

Computed properties:
E_form (uncorrected)   -2.15 eV/f.u.
Space group   R-3m (166)
E_tot   -4.866 eV per atom

Cell lengths 7.292, 7.292, 7.292 Å; angles 25.36, 25.36, 25.36 degrees
Fractional positions:
1 Rb 0.000 0.000 0.000
2 P 0.500 0.500 0.500
3 O 0.119 0.119 0.119
4 O 0.881 0.881 0.881


Record 12
Entry from Alexandria via LeMat-Bulk: a geometry-optimized Rb3PO structure (GGA-PBEsol).

Computed properties:
E_form (uncorrected)   -1.65 eV/f.u.
Space group   Pm-3m (221)
E_tot   -3.153 eV per atom

Cell lengths 5.415, 5.415, 5.415 Å; angles 90.00, 90.00, 90.00 degrees
Fractional positions:
1 Rb 0.000 0.000 0.500
2 Rb 0.000 0.500 0.000
3 Rb 0.500 0.000 0.000
4 P 0.500 0.500 0.500
5 O 0.000 0.000 0.000